No. 1
VASP calculation (PBE) on a relaxed structure of LaCr2NiAs.

Computed properties:
DFT formation energy = 1.902 eV/atom
Calculated volume = 19.151 A^3/atom
Total energy = -25.10 eV/cell
Magnetization = 0.00 μB/f.u.

a = 4.5287 Å, b = 4.5287 Å, c = 4.6691 Å
α = 90.00°, β = 90.00°, γ = 90.00°
Space group P4/mmm (No. 123)
One atom of each set of equivalent atoms:
La: 0.0000 0.0000 0.0000
Cr: 0.0000 0.5000 0.0000
Ni: 0.0000 0.0000 0.5000
As: 0.5000 0.5000 0.5000

***

No. 2
VASP calculation (PBE) on a relaxed structure of La2CrAs4Pd3.

Computed properties:
DFT formation energy = -0.842 eV/atom
Calculated volume = 20.011 A^3/atom
Total energy = -62.07 eV/cell
Magnetization = 3.57 μB/f.u.

a = 4.4296 Å, b = 4.4296 Å, c = 10.1989 Å
α = 90.00°, β = 90.00°, γ = 90.00°
Space group P-4m2 (No. 115)
One atom of each set of equivalent atoms:
La: 0.0000 0.5000 0.2430
Cr: 0.0000 0.0000 0.5000
As: 0.0000 0.0000 0.0000
As: 0.0000 0.5000 0.6316
As: 0.5000 0.5000 0.0000
Pd: 0.0000 0.5000 0.8783
Pd: 0.5000 0.5000 0.5000

***

No. 3
VASP calculation (PBE) on a relaxed structure of La2CrAs4Pt3.

Computed properties:
DFT formation energy = -0.869 eV/atom
Calculated volume = 20.070 A^3/atom
Total energy = -64.89 eV/cell
Magnetization = 3.65 μB/f.u.

a = 4.4498 Å, b = 4.4498 Å, c = 10.1360 Å
α = 90.00°, β = 90.00°, γ = 90.00°
Space group P-4m2 (No. 115)
One atom of each set of equivalent atoms:
La: 0.0000 0.5000 0.2458
Cr: 0.0000 0.0000 0.5000
As: 0.0000 0.0000 0.0000
As: 0.0000 0.5000 0.6312
As: 0.5000 0.5000 0.0000
Pt: 0.0000 0.5000 0.8803
Pt: 0.5000 0.5000 0.5000

***

No. 4
VASP calculation (PBE) on a relaxed structure of La2CrSbAs.

Computed properties:
Calculated volume = 29.603 A^3/atom
Total energy = -29.61 eV/cell
Uncorrected formation energy = -1.36 eV/f.u.
Magnetization = 0.26 μB/f.u.

a = 5.7432 Å, b = 5.7432 Å, c = 4.4874 Å
α = 90.00°, β = 90.00°, γ = 90.00°
Space group P4/mmm (No. 123)
One atom of each set of equivalent atoms:
La: 0.0000 0.5000 0.0000
Cr: 0.0000 0.0000 0.5000
Sb: 0.5000 0.5000 0.5000
As: 0.0000 0.0000 0.0000

***

No. 5
VASP calculation (PBE) on a relaxed structure of La2TaCrAs.

Computed properties:
DFT formation energy = 0.574 eV/atom
Calculated volume = 31.748 A^3/atom
Total energy = -33.11 eV/cell
Magnetization = 5.20 μB/f.u.

a = 5.6675 Å, b = 5.6675 Å, c = 4.9420 Å
α = 90.00°, β = 90.00°, γ = 90.00°
Space group P4/mmm (No. 123)
One atom of each set of equivalent atoms:
La: 0.0000 0.5000 0.0000
Ta: 0.0000 0.0000 0.0000
Cr: 0.5000 0.5000 0.5000
As: 0.0000 0.0000 0.5000

***

No. 6
VASP calculation (PBE) on a relaxed structure of LaZnCr2As.

Computed properties:
DFT formation energy = 1.923 eV/atom
Calculated volume = 23.430 A^3/atom
Total energy = -20.48 eV/cell
Magnetization = 0.31 μB/f.u.

a = 4.5716 Å, b = 4.5716 Å, c = 5.6055 Å
α = 90.00°, β = 90.00°, γ = 90.00°
Space group P4/mmm (No. 123)
One atom of each set of equivalent atoms:
La: 0.0000 0.0000 0.0000
Zn: 0.5000 0.5000 0.5000
Cr: 0.0000 0.5000 0.0000
As: 0.0000 0.0000 0.5000

***

No. 7
VASP calculation (PBE) on a relaxed structure of Li2CrAs.

Computed properties:
DFT formation energy = -0.211 eV/atom
Calculated volume = 15.168 A^3/atom
Total energy = -75.78 eV/cell
Magnetization = 4.55 μB/f.u.

a = 6.2376 Å, b = 6.2376 Å, c = 6.2376 Å
α = 90.00°, β = 90.00°, γ = 90.00°
Space group F-43m (No. 216)
One atom of each set of equivalent atoms:
Li: 0.0000 0.0000 0.0000
Li: 0.2500 0.2500 0.2500
Cr: 0.0000 0.0000 0.5000
As: 0.2500 0.2500 0.7500

***

No. 8
VASP calculation (PBE) on a relaxed structure of Li2CrAs.

Computed properties:
DFT formation energy = 0.217 eV/atom
Calculated volume = 17.514 A^3/atom
Total energy = -51.70 eV/cell
Magnetization = 4.33 μB/f.u.

a = 3.0120 Å, b = 3.0120 Å, c = 26.7496 Å
α = 90.00°, β = 90.00°, γ = 120.00°
Space group R-3m (No. 166, hexagonal axes)
One atom of each set of equivalent atoms:
Li: 0.0000 0.0000 0.2410
Cr: 0.0000 0.0000 0.0000
As: 0.0000 0.0000 0.5000

***

No. 9
VASP calculation (PBE) on a relaxed structure of Li2CrAs2.

Computed properties:
DFT formation energy = -0.250 eV/atom
Calculated volume = 15.562 A^3/atom
Total energy = -48.00 eV/cell
Magnetization = 0.00 μB/f.u.

a = 6.3053 Å, b = 6.3053 Å, c = 3.9144 Å
α = 90.00°, β = 90.00°, γ = 90.00°
Space group P4/mbm (No. 127)
One atom of each set of equivalent atoms:
Li: 0.1623 0.3377 0.0000
Cr: 0.0000 0.0000 0.5000
As: 0.1500 0.6500 0.5000

***

No. 10
VASP calculation (PBE) on a relaxed structure of LiCrAs2.

Computed properties:
DFT formation energy = -0.077 eV/atom
Calculated volume = 16.363 A^3/atom
Total energy = -21.14 eV/cell
Magnetization = 3.60 μB/f.u.
Polymorph energy (0 for the lowest one) = 190 meV per atom

a = 2.9582 Å, b = 4.7047 Å, c = 4.7029 Å
α = 90.00°, β = 90.00°, γ = 90.00°
Space group Pmm2 (No. 25)
One atom of each set of equivalent atoms:
Li: 0.0000 0.0000 0.0000
Cr: 0.0000 0.5000 0.4976
As: 0.5000 0.0000 0.4999
As: 0.5000 0.5000 0.9984

***

No. 11
VASP calculation (PBE) on a relaxed structure of LiCrAs2.

Computed properties:
DFT formation energy = -0.130 eV/atom
Calculated volume = 16.184 A^3/atom
Total energy = -21.36 eV/cell
Magnetization = 3.57 μB/f.u.
Polymorph energy (0 for the lowest one) = 137 meV per atom

a = 3.6471 Å, b = 4.1945 Å, c = 4.2317 Å
α = 90.00°, β = 90.00°, γ = 90.00°
Space group Pmmm (No. 47)
One atom of each set of equivalent atoms:
Li: 0.0000 0.0000 0.0000
Cr: 0.0000 0.5000 0.5000
As: 0.5000 0.0000 0.5000
As: 0.5000 0.5000 0.0000

***

No. 12
VASP calculation (PBE) on a relaxed structure of Li2CrAs.

Computed properties:
DFT formation energy = 0.043 eV/atom
Calculated volume = 16.010 A^3/atom
Total energy = -35.85 eV/cell
Magnetization = 4.65 μB/f.u.

a = 5.3999 Å, b = 7.6328 Å, c = 3.1076 Å
α = 90.00°, β = 90.00°, γ = 90.00°
Space group Cmmm (No. 65)
One atom of each set of equivalent atoms:
Li: 0.2500 0.2500 0.0000
Cr: 0.0000 0.0000 0.5000
As: 0.0000 0.5000 0.5000

***

No. 13
VASP calculation (PBE) on a relaxed structure of LiCrAs2.

Computed properties:
DFT formation energy = -0.119 eV/atom
Calculated volume = 16.193 A^3/atom
Total energy = -42.62 eV/cell
Magnetization = 3.61 μB/f.u.
Polymorph energy (0 for the lowest one) = 148 meV per atom

a = 5.7725 Å, b = 7.3383 Å, c = 3.0582 Å
α = 90.00°, β = 90.00°, γ = 90.00°
Space group Cmmm (No. 65)
One atom of each set of equivalent atoms:
Li: 0.0000 0.0000 0.0000
Cr: 0.0000 0.5000 0.0000
As: 0.2500 0.2500 0.5000

***

No. 14
VASP calculation (PBE) on a relaxed structure of LiCrAs2.

Computed properties:
DFT formation energy = -0.151 eV/atom
Calculated volume = 15.590 A^3/atom
Total energy = -85.76 eV/cell
Magnetization = 2.68 μB/f.u.
Polymorph energy (0 for the lowest one) = 116 meV per atom

a = 6.2948 Å, b = 6.2948 Å, c = 6.2948 Å
α = 90.00°, β = 90.00°, γ = 90.00°
Space group Fm-3m (No. 225)
One atom of each set of equivalent atoms:
Li: 0.0000 0.0000 0.0000
Cr: 0.0000 0.0000 0.5000
As: 0.2500 0.2500 0.2500

***

No. 15
VASP calculation (PBE) on a relaxed structure of LiCrAs2.

Computed properties:
DFT formation energy = 0.207 eV/atom
Calculated volume = 16.794 A^3/atom
Total energy = -80.04 eV/cell
Magnetization = 3.63 μB/f.u.
Polymorph energy (0 for the lowest one) = 473 meV per atom

a = 6.4529 Å, b = 6.4529 Å, c = 6.4529 Å
α = 90.00°, β = 90.00°, γ = 90.00°
Space group F-43m (No. 216)
One atom of each set of equivalent atoms:
Li: 0.0000 0.0000 0.0000
Cr: 0.2500 0.2500 0.2500
As: 0.0000 0.0000 0.5000
As: 0.2500 0.2500 0.7500

***

No. 16
VASP calculation (PBE) on a relaxed structure of LiCr2As2.

Computed properties:
DFT formation energy = -0.130 eV/atom
Calculated volume = 14.539 A^3/atom
Total energy = -62.22 eV/cell
Magnetization = 3.22 μB/f.u.
Polymorph energy (0 for the lowest one) = 24 meV per atom

a = 6.9218 Å, b = 6.9218 Å, c = 3.0347 Å
α = 90.00°, β = 90.00°, γ = 90.00°
Space group P4/mbm (No. 127)
One atom of each set of equivalent atoms:
Li: 0.0000 0.0000 0.0000
Cr: 0.1371 0.3629 0.5000
As: 0.1553 0.6553 0.0000

***

No. 17
VASP calculation (PBE) on a relaxed structure of LiCrAs2.

Computed properties:
DFT formation energy = -0.263 eV/atom
Calculated volume = 16.112 A^3/atom
Total energy = -65.67 eV/cell
Magnetization = 0.00 μB/f.u.
Polymorph energy (0 for the lowest one) = 3 meV per atom

a = 3.1326 Å, b = 3.1326 Å, c = 22.7502 Å
α = 90.00°, β = 90.00°, γ = 120.00°
Space group R3m (No. 160, hexagonal axes)
One atom of each set of equivalent atoms:
Li: 0.0000 0.0000 0.0000
Cr: 0.0000 0.0000 0.8367
As: 0.0000 0.0000 0.2423
As: 0.0000 0.0000 0.4302

***

No. 18
VASP calculation (PBE) on a relaxed structure of Li2CrAs.

Computed properties:
DFT formation energy = -0.025 eV/atom
Calculated volume = 15.586 A^3/atom
Total energy = -18.20 eV/cell
Magnetization = 3.28 μB/f.u.

a = 3.0639 Å, b = 4.5097 Å, c = 4.5999 Å
α = 90.00°, β = 101.22°, γ = 90.00°
Space group P2/m (No. 10)
One atom of each set of equivalent atoms:
Li: 0.1848 0.0000 0.2637
Cr: 0.5000 0.5000 0.0000
As: 0.0000 0.5000 0.5000

***

No. 19
VASP calculation (PBE) on a relaxed structure of Li2CrAs.

Computed properties:
DFT formation energy = -0.066 eV/atom
Calculated volume = 16.439 A^3/atom
Total energy = -18.37 eV/cell
Magnetization = 3.01 μB/f.u.

a = 3.3378 Å, b = 3.3378 Å, c = 5.9021 Å
α = 90.00°, β = 90.00°, γ = 90.00°
Space group P4mm (No. 99)
One atom of each set of equivalent atoms:
Li: 0.0000 0.0000 0.0000
Li: 0.5000 0.5000 0.2684
Cr: 0.5000 0.5000 0.7163
As: 0.0000 0.0000 0.5392

***

No. 20
VASP calculation (PBE) on a relaxed structure of Li2CrAs.

Computed properties:
DFT formation energy = -0.189 eV/atom
Calculated volume = 14.781 A^3/atom
Total energy = -18.86 eV/cell
Magnetization = 3.29 μB/f.u.

a = 3.7117 Å, b = 3.7330 Å, c = 4.2671 Å
α = 90.00°, β = 90.00°, γ = 90.00°
Space group Pmmm (No. 47)
One atom of each set of equivalent atoms:
Li: 0.0000 0.0000 0.0000
Li: 0.5000 0.5000 0.0000
Cr: 0.0000 0.5000 0.5000
As: 0.5000 0.0000 0.5000

***

No. 21
VASP calculation (PBE) on a relaxed structure of Li2CrAs.

Computed properties:
DFT formation energy = -0.016 eV/atom
Calculated volume = 16.000 A^3/atom
Total energy = -18.16 eV/cell
Magnetization = 4.10 μB/f.u.

a = 2.9941 Å, b = 4.0692 Å, c = 5.2529 Å
α = 90.00°, β = 90.00°, γ = 90.00°
Space group Pmmm (No. 47)
One atom of each set of equivalent atoms:
Li: 0.0000 0.0000 0.2325
Cr: 0.5000 0.5000 0.5000
As: 0.5000 0.5000 0.0000

***

No. 22
VASP calculation (PBE) on a relaxed structure of Li2CrAs.

Computed properties:
DFT formation energy = 0.025 eV/atom
Calculated volume = 13.583 A^3/atom
Total energy = -36.00 eV/cell
Magnetization = 0.51 μB/f.u.

a = 10.1755 Å, b = 2.9048 Å, c = 3.9931 Å
α = 90.00°, β = 112.98°, γ = 90.00°
Space group C2/m (No. 12)
One atom of each set of equivalent atoms:
Li: 0.2332 0.0000 0.2334
Cr: 0.0000 0.0000 0.5000
As: 0.0000 0.5000 0.0000

***

No. 23
VASP calculation (PBE) on a relaxed structure of LiCr2As2.

Computed properties:
DFT formation energy = -0.155 eV/atom
Calculated volume = 16.953 A^3/atom
Total energy = -62.47 eV/cell
Magnetization = 0.00 μB/f.u.
Polymorph energy (0 for the lowest one) = 0 meV per atom

a = 3.4972 Å, b = 3.4972 Å, c = 13.8614 Å
α = 90.00°, β = 90.00°, γ = 90.00°
Space group I4/mmm (No. 139)
One atom of each set of equivalent atoms:
Li: 0.0000 0.0000 0.0000
Cr: 0.0000 0.5000 0.2500
As: 0.0000 0.0000 0.3751

***

No. 24
VASP calculation (PBE) on a relaxed structure of LiCrAs2.

Computed properties:
DFT formation energy = -0.206 eV/atom
Calculated volume = 16.843 A^3/atom
Total energy = -43.32 eV/cell
Magnetization = 2.07 μB/f.u.
Polymorph energy (0 for the lowest one) = 61 meV per atom

a = 7.4499 Å, b = 3.1506 Å, c = 5.9082 Å
α = 90.00°, β = 103.68°, γ = 90.00°
Space group C2/m (No. 12)
One atom of each set of equivalent atoms:
Li: 0.0000 0.0000 0.0000
Cr: 0.0000 0.5000 0.5000
As: 0.2368 0.0000 0.7156

***

No. 25
VASP calculation (PBE) on a relaxed structure of Li2CrAs.

Computed properties:
DFT formation energy = -0.120 eV/atom
Calculated volume = 15.500 A^3/atom
Total energy = -37.16 eV/cell
Magnetization = 4.58 μB/f.u.

a = 3.8837 Å, b = 3.8837 Å, c = 8.2212 Å
α = 90.00°, β = 90.00°, γ = 90.00°
Space group I4/mmm (No. 139)
One atom of each set of equivalent atoms:
Li: 0.0000 0.5000 0.2500
Cr: 0.0000 0.0000 0.0000
As: 0.0000 0.0000 0.5000

***

No. 26
VASP calculation (PBE) on a relaxed structure of LiCrAs2.

Computed properties:
DFT formation energy = -0.225 eV/atom
Calculated volume = 15.578 A^3/atom
Total energy = -21.74 eV/cell
Magnetization = 0.77 μB/f.u.
Polymorph energy (0 for the lowest one) = 42 meV per atom

a = 2.9981 Å, b = 2.9798 Å, c = 6.9940 Å
α = 90.00°, β = 94.22°, γ = 90.00°
Space group P2/m (No. 10)
One atom of each set of equivalent atoms:
Li: 0.0000 0.0000 0.0000
Cr: 0.0000 0.0000 0.5000
As: 0.4751 0.5000 0.2877

***

No. 27
VASP calculation (PBE) on a relaxed structure of LiCr3As.

Computed properties:
DFT formation energy = 1.202 eV/atom
Calculated volume = 14.438 A^3/atom
Total energy = -29.42 eV/cell
Magnetization = 7.85 μB/f.u.
Polymorph energy (0 for the lowest one) = 401 meV per atom

a = 4.1638 Å, b = 4.1638 Å, c = 4.1638 Å
α = 90.00°, β = 90.00°, γ = 90.00°
Space group Pm-3m (No. 221)
One atom of each set of equivalent atoms:
Li: 0.0000 0.0000 0.0000
Cr: 0.0000 0.0000 0.5000
As: 0.5000 0.5000 0.5000

***

No. 28
VASP calculation (PBE) on a relaxed structure of Li2CrAs.

Computed properties:
DFT formation energy = 0.211 eV/atom
Calculated volume = 14.660 A^3/atom
Total energy = -34.52 eV/cell
Magnetization = 1.36 μB/f.u.

a = 3.7071 Å, b = 3.7167 Å, c = 8.5121 Å
α = 90.00°, β = 90.00°, γ = 90.00°
Space group Cmmm (No. 65)
One atom of each set of equivalent atoms:
Li: 0.0000 0.0000 0.2342
Cr: 0.0000 0.5000 0.5000
As: 0.0000 0.5000 0.0000

***

No. 29
VASP calculation (PBE) on a relaxed structure of LiCrAs2.

Computed properties:
DFT formation energy = 0.331 eV/atom
Calculated volume = 18.003 A^3/atom
Total energy = -58.54 eV/cell
Magnetization = 1.00 μB/f.u.
Polymorph energy (0 for the lowest one) = 598 meV per atom

a = 2.8359 Å, b = 2.8359 Å, c = 31.0178 Å
α = 90.00°, β = 90.00°, γ = 120.00°
Space group R3m (No. 160, hexagonal axes)
One atom of each set of equivalent atoms:
Li: 0.0000 0.0000 0.0000
Cr: 0.0000 0.0000 0.7426
As: 0.0000 0.0000 0.2639
As: 0.0000 0.0000 0.4697